# 1
Compound: BaAgS2N
Source: the Alexandria database
Functional: PBE
Structure: relaxed

Its energy above the lowest structure with this stoichiometry is 0.0000 eV per atom.

a = 5.130 Å, b = 5.130 Å, c = 4.232 Å
α = 90.00°, β = 90.00°, γ = 90.00°
Space group P4/mmm (No. 123)
Inequivalent atoms, fractional coordinates:
Ba  0.000  0.000  0.000 x1
Ag  0.500  0.500  0.500 x1
S  0.000  0.500  0.500 x2
N  0.500  0.500  0.000 x1

# 2
Compound: YMgPd2
Source: the Alexandria database
Functional: PBE
Structure: relaxed

As for the energy of formation from the pure elements: -754 meV per atom.

a = 4.791 Å, b = 4.791 Å, c = 3.350 Å
α = 90.00°, β = 90.00°, γ = 90.00°
Space group P4/mmm (No. 123)
Inequivalent atoms, fractional coordinates:
Y  0.000  0.000  0.000 x1
Mg  0.500  0.500  0.000 x1
Pd  0.000  0.500  0.500 x2

# 3
Compound: Th4AgRh12
Source: the Alexandria database
Functional: PBE
Structure: relaxed

As for the energy of formation from the pure elements: -568 meV per atom.

a = 8.525 Å, b = 8.525 Å, c = 8.525 Å
α = 90.00°, β = 90.00°, γ = 90.00°
Space group Im-3m (No. 229)
Inequivalent atoms, fractional coordinates:
Th  0.250  0.250  0.250 x8
Ag  0.000  0.000  0.000 x2
Rh  0.000  0.000  0.305 x12
Rh  0.000  0.250  0.500 x12

# 4
Compound: DyLuGe
Source: the Alexandria database
Functional: PBE
Structure: relaxed

As for the energy of formation from the pure elements: -439 meV per atom. Its energy above the lowest structure with this stoichiometry is 0.0675 eV per atom.

a = 3.440 Å, b = 3.440 Å, c = 12.789 Å
α = 90.00°, β = 90.00°, γ = 90.00°
Space group I4mm (No. 107)
Inequivalent atoms, fractional coordinates:
Dy  0.000  0.000  0.000 x2
Lu  0.000  0.000  0.714 x2
Ge  0.000  0.000  0.354 x2

# 5
Compound: K2Tl2Ag
Source: the Alexandria database
Functional: PBE
Structure: relaxed

As for the energy of formation from the pure elements: 5 meV per atom. Its energy above the lowest structure with this stoichiometry is 0.0029 eV per atom.

a = 7.702 Å, b = 7.702 Å, c = 5.987 Å
α = 90.00°, β = 90.00°, γ = 90.00°
Space group P4/mbm (No. 127)
Inequivalent atoms, fractional coordinates:
K  0.180  0.320  0.000 x4
Tl  0.140  0.640  0.500 x4
Ag  0.000  0.000  0.500 x2

# 6
Compound: Li2Pm2TmMg5
Source: the Alexandria database
Functional: PBE
Structure: relaxed

As for the energy of formation from the pure elements: -40 meV per atom.

a = 10.589 Å, b = 10.589 Å, c = 4.487 Å
α = 90.00°, β = 90.00°, γ = 90.00°
Space group P4/mbm (No. 127)
Inequivalent atoms, fractional coordinates:
Li  0.114  0.386  0.000 x4
Pm  0.181  0.681  0.000 x4
Tm  0.000  0.000  0.000 x2
Mg  0.000  0.500  0.500 x2
Mg  0.061  0.212  0.500 x8

# 7
Compound: La2Dy5Er
Source: the Alexandria database
Functional: PBE
Structure: relaxed

As for the energy of formation from the pure elements: 31 meV per atom.

a = 5.096 Å, b = 5.096 Å, c = 20.176 Å
α = 90.00°, β = 90.00°, γ = 90.00°
Space group I4/mmm (No. 139)
Inequivalent atoms, fractional coordinates:
La  0.000  0.000  0.250 x4
Dy  0.000  0.000  0.000 x2
Dy  0.000  0.500  0.121 x8
Er  0.000  0.000  0.500 x2

# 8
Compound: BaLaP2
Source: the Alexandria database
Functional: PBE
Structure: relaxed

As for the energy of formation from the pure elements: -974 meV per atom. Its energy above the lowest structure with this stoichiometry is 0.1203 eV per atom.

a = 4.000 Å, b = 4.000 Å, c = 6.683 Å
α = 90.00°, β = 90.00°, γ = 90.00°
Space group P4/mmm (No. 123)
Inequivalent atoms, fractional coordinates:
Ba  0.000  0.000  0.000 x1
La  0.000  0.000  0.500 x1
P  0.500  0.500  0.319 x2

DOS at the Fermi energy list, top to bottom, in states/eV/atom: 0.722; 0.538; 1.193; 0.864; 0.655; 0.826; 1.617; 0.722
Volume list, top to bottom, in Å³/atom: 22.28; 19.23; 18.22; 25.22; 35.52; 25.16; 32.74; 26.73